Ba2BiRuN: optimized geometry, PBE.

* uncorrected formation energy: -39.61 kJ/mol of atoms
* total energy: -5.476 eV per atom
* Fermi-level density of states: 0.740 states/eV per atom

Structure (extended XYZ):
```
5
Lattice="6.125 0.000 0.000 0.000 6.125 0.000 0.000 0.000 3.806" Properties=species:S:1:pos:R:3 pbc="T T T"
Ba 0.000 3.062 0.000
Ba 3.062 0.000 0.000
Bi 0.000 0.000 1.903
Ru 3.062 3.062 1.903
N 3.062 3.062 0.000
```